[1]
Here is an optimized crystal structure of Pr2CdH6Ru from the Alexandria database. Energies are from PBE.

Unit cell a=7.1536 b=4.7123 c=4.7123 alpha=120.00 beta=90.00 gamma=90.00
Positions (direct):
Pr: 0.2170 0.3333 0.6667
Pr: 0.7830 0.6667 0.3333
Cd: 0.5000 0.0000 0.0000
H: 0.8677 0.1752 0.3505
H: 0.8677 0.1752 0.8248
H: 0.8677 0.6495 0.8248
H: 0.1323 0.8248 0.1752
H: 0.1323 0.3505 0.1752
H: 0.1323 0.8248 0.6495
Ru: 0.0000 0.0000 0.0000

Output
Calculated volume   13.757 Å³/atom
DOS(E_F)   3.10 states/eV/cell
Total energy   -4.4009 eV per atom

=====

[2]
Here is an optimized crystal structure of PrCdTcH6 from the Alexandria database. Energies are from PBE.

Unit cell a=4.8527 b=4.8526 c=4.5599 alpha=90.00 beta=90.00 gamma=60.00
Positions (direct):
Pr: 0.9999 0.0000 0.0028
Cd: 0.6665 0.6667 0.5015
Tc: 0.3332 0.3334 0.4988
H: 0.0527 0.4761 0.2151
H: 0.4720 0.0546 0.7838
H: 0.4737 0.4718 0.7838
H: 0.0543 0.4737 0.7838
H: 0.4762 0.4709 0.2151
H: 0.4713 0.0529 0.2151

Output
Calculated volume   10.333 Å³/atom
DOS(E_F)   5.16 states/eV/cell
Total energy   -4.1592 eV per atom

=====

[3]
Here is an optimized crystal structure of CdHPt3 from the Alexandria database. Energies are from PBE.

Unit cell a=5.5346 b=5.5346 c=5.4337 alpha=90.00 beta=90.00 gamma=119.67
Positions (direct):
H: 0.1620 0.8380 0.2500
H: 0.8380 0.1620 0.7500
Pt: 0.5390 0.9598 0.2500
Pt: 0.0402 0.4610 0.2500
Pt: 0.9598 0.5390 0.7500
Pt: 0.4610 0.0402 0.7500
Pt: 0.0000 0.0000 0.0000
Pt: 0.0000 0.0000 0.5000
Cd: 0.5460 0.4540 0.2500
Cd: 0.4540 0.5460 0.7500

Output
Polymorph energy (0 for the lowest one)   151 meV per atom
Calculated volume   14.462 Å³/atom
DOS(E_F)   5.93 states/eV/cell

=====

[4]
Here is an optimized crystal structure of CdH12Pt7 from the Alexandria database. Energies are from PBE.

Unit cell a=8.9406 b=6.2465 c=6.2465 alpha=80.88 beta=61.50 gamma=118.50
Positions (direct):
Cd: 0.0000 0.0000 0.0000
H: 0.8805 0.3806 0.2389
H: 0.8806 0.7611 0.6195
H: 0.4504 0.2621 0.9999
H: 0.5497 0.0001 0.2620
H: 0.5001 0.6195 0.6194
H: 0.8116 0.2620 0.7379
H: 0.1884 0.7380 0.2621
H: 0.4999 0.3805 0.3806
H: 0.4503 0.9999 0.7380
H: 0.5496 0.7379 0.0001
H: 0.1194 0.2389 0.3805
H: 0.1195 0.6194 0.7611
Pt: 0.8486 0.3032 0.0000
Pt: 0.1514 0.0000 0.3032
Pt: 0.4546 0.3032 0.6968
Pt: 0.5000 0.0000 0.0000
Pt: 0.5454 0.6968 0.3032
Pt: 0.8486 0.0000 0.6968
Pt: 0.1514 0.6968 0.0000

Output
Calculated volume   11.667 Å³/atom
DOS(E_F)   2.29 states/eV/cell
Total energy   -4.1105 eV per atom

=====

[5]
Here is an optimized crystal structure of CdHPt3 from the Alexandria database. Energies are from PBE.

Unit cell a=15.4744 b=6.8136 c=6.8136 alpha=139.48 beta=153.28 gamma=26.72
Positions (direct):
H: 0.1545 0.6787 0.3213
H: 0.8455 0.3213 0.6787
Pt: 0.1826 0.8736 0.1264
Pt: 0.8174 0.1264 0.8736
Pt: 0.8872 0.4217 0.5783
Pt: 0.1128 0.5783 0.4217
Pt: 0.4753 0.7173 0.2827
Pt: 0.5247 0.2827 0.7173
Cd: 0.7015 0.8660 0.1340
Cd: 0.2985 0.1340 0.8660

Output
Polymorph energy (0 for the lowest one)   84 meV per atom
Calculated volume   14.264 Å³/atom
DOS(E_F)   3.75 states/eV/cell

=====

[6]
Here is an optimized crystal structure of CdHPt3 from the Alexandria database. Energies are from PBE.

Unit cell a=5.9415 b=5.8068 c=5.8179 alpha=119.93 beta=120.70 gamma=90.00
Positions (direct):
H: 0.1125 0.7313 0.5628
H: 0.1134 0.0690 0.5647
Pt: 0.9241 0.7122 0.1860
Pt: 0.4510 0.2262 0.7081
Pt: 0.4511 0.7202 0.7081
Pt: 0.4310 0.2191 0.1998
Pt: 0.9192 0.7203 0.7080
Pt: 0.9192 0.2262 0.7080
Cd: 0.4278 0.7160 0.1936
Cd: 0.9355 0.2234 0.2088

Output
Polymorph energy (0 for the lowest one)   9 meV per atom
Calculated volume   14.057 Å³/atom
DOS(E_F)   7.97 states/eV/cell

=====

[7]
Here is an optimized crystal structure of CdH2Pt4 from the Alexandria database. Energies are from PBE.

Unit cell a=4.9456 b=4.9456 c=5.8698 alpha=65.08 beta=65.08 gamma=90.00
Positions (direct):
H: 0.5553 0.5553 0.8895
H: 0.4447 0.4447 0.1105
Pt: 0.7173 0.7173 0.5654
Pt: 0.2827 0.2827 0.4346
Pt: 0.0000 0.5000 0.0000
Pt: 0.5000 0.0000 0.0000
Cd: 0.0000 0.0000 0.0000

Output
Polymorph energy (0 for the lowest one)   1039 meV per atom
Calculated volume   16.472 Å³/atom
DOS(E_F)   2.85 states/eV/cell

=====

[8]
Here is an optimized crystal structure of CdHPt3 from the Alexandria database. Energies are from PBE.

Unit cell a=2.9110 b=5.0231 c=5.0231 alpha=106.93 beta=90.00 gamma=90.00
Positions (direct):
H: 0.5000 0.2442 0.7558
Pt: 0.5000 0.0854 0.3845
Pt: 0.5000 0.6155 0.9146
Pt: 0.0000 0.0911 0.9089
Cd: 0.0000 0.5919 0.4081

Output
Polymorph energy (0 for the lowest one)   17 meV per atom
Calculated volume   14.053 Å³/atom
DOS(E_F)   2.15 states/eV/cell

=====

The lowest calculated volume belongs to which entry?
PrCdTcH6